Density functional theory data (GGA+U) for crystalline BaYMnCoO5 at its relaxed geometry.

The structure in POSCAR format:
```
BaYMnCoO5
1.0
5.5518 0.0000 0.0000
0.0000 5.5518 0.0000
0.0000 0.0000 7.7846
Ba Y Mn Co O
2 2 2 2 10
Direct
0.2500 0.7500 0.0000
0.7500 0.2500 0.0000
0.2500 0.7500 0.5000
0.7500 0.2500 0.5000
0.2500 0.2500 0.2681
0.7500 0.7500 0.7319
0.2500 0.2500 0.7354
0.7500 0.7500 0.2646
0.0042 0.0042 0.3173
0.0042 0.4958 0.3173
0.2500 0.2500 0.0039
0.4958 0.0042 0.3173
0.4958 0.4958 0.3173
0.5042 0.5042 0.6827
0.5042 0.9958 0.6827
0.7500 0.7500 0.9961
0.9958 0.5042 0.6827
0.9958 0.9958 0.6827
```

- ΔE to the lowest computed polymorph (eV/f.u.) = 0.00
- symmetry = P4/nmm (129)
- calculated total energy (eV per cell) = -131.8